[1]
First-principles (SCAN) data for LiReMo at its PBEsol-relaxed geometry, as listed in Alexandria via LeMat-Bulk.

The structure in POSCAR format:
```
LiReMo
1.0
2.6994 0.0000 0.0000
-1.3497 2.3377 0.0000
0.0000 0.0000 7.1527
Li Re Mo
1 1 1
direct
0.0000 0.0000 0.0000
0.6667 0.3333 0.3295
0.3333 0.6667 0.6476
```

**Energy**: -35.758 eV/atom
**Density**: 10.64 g cm⁻³
**Offset from the most stable computed form**: 114 meV per atom
**Calculated formation energy**: 366.6 meV per atom


[2]
First-principles (SCAN) data for LiReMo2 at its PBEsol-relaxed geometry, as listed in Alexandria via LeMat-Bulk.

The structure in POSCAR format:
```
LiReMo2
1.0
2.5821 0.0000 0.0000
0.0000 2.5821 0.0000
0.0000 0.0000 9.0783
Li Re Mo
1 1 2
direct
0.0000 0.0000 0.0000
0.5000 0.5000 0.7575
0.0000 0.0000 0.5120
0.5000 0.5000 0.2632
```

**Energy**: -35.362 eV/atom
**Density**: 10.56 g cm⁻³
**Calculated formation energy**: 452.2 meV per atom